Density functional theory data (PBE-GGA) for an optimized crystal structure of MnAuCl4.

The calculation puts the energy above the lowest structure with this stoichiometry at 1415.9 meV per atom. As for the uncorrected formation energy: 0.745 eV per atom. Its density is 4.719 g cm⁻³. The total energy is -2.561 eV/atom.

The structure belongs to space group F-43m (No. 216); the cell edges are 8.214, 8.214 and 8.214 Å and the angles 90.00°, 90.00° and 90.00°. The inequivalent atoms are Mn at (0.000, 0.000, 0.000), Au at (0.250, 0.250, 0.750) and Cl at (0.125, 0.125, 0.375).



Density functional theory data (PBE-GGA) for an optimized crystal structure of Mn2AuCl.

The calculation puts the energy above the lowest structure with this stoichiometry at 137.0 meV per atom. As for the uncorrected formation energy: 0.052 eV per atom. Its density is 7.843 g cm⁻³. The total energy is -5.814 eV/atom.

The structure belongs to space group P4/mmm (No. 123); the cell edges are 3.142, 3.142 and 7.343 Å and the angles 90.00°, 90.00° and 90.00°. The inequivalent atoms are Mn at (0.000, 0.000, 0.229), Au at (0.500, 0.500, 0.000) and Cl at (0.500, 0.500, 0.500).



Density functional theory data (PBE-GGA) for an optimized crystal structure of MnAuCl.

The calculation puts the energy above the lowest structure with this stoichiometry at 332.2 meV per atom. As for the uncorrected formation energy: 0.050 eV per atom. Its density is 7.103 g cm⁻³. The total energy is -4.715 eV/atom.

The structure belongs to space group F-43m (No. 216); the cell edges are 6.453, 6.453 and 6.453 Å and the angles 90.00°, 90.00° and 90.00°. The inequivalent atoms are Mn at (0.000, 0.000, 0.000), Au at (0.250, 0.250, 0.250) and Cl at (0.250, 0.250, 0.750).



Density functional theory data (PBE-GGA) for an optimized crystal structure of MnAuCl.

The calculation puts the energy above the lowest structure with this stoichiometry at 86.8 meV per atom. As for the uncorrected formation energy: -0.196 eV per atom. Its density is 7.516 g cm⁻³. The total energy is -4.960 eV/atom.

The structure belongs to space group Cm (No. 8); the cell edges are 4.236, 4.568 and 6.888 Å and the angles 90.00°, 107.71° and 90.00°. The inequivalent atoms are Mn at (0.000, 0.000, 0.000), Au at (0.370, 0.000, 0.736) and Cl at (0.112, 0.500, 0.228).



Density functional theory data (PBE-GGA) for an optimized crystal structure of Mn2AuCl.

The calculation puts the energy above the lowest structure with this stoichiometry at 91.8 meV per atom. As for the uncorrected formation energy: 0.007 eV per atom. Its density is 7.377 g cm⁻³. The total energy is -5.859 eV/atom.

The structure belongs to space group P4mm (No. 99); the cell edges are 3.083, 3.083 and 8.104 Å and the angles 90.00°, 90.00° and 90.00°. The inequivalent atoms are Mn at (0.000, 0.000, 0.000), Mn at (0.500, 0.500, 0.218), Au at (0.000, 0.000, 0.420) and Cl at (0.500, 0.500, 0.831).



Density functional theory data (PBE-GGA) for an optimized crystal structure of MnAu4Cl.

As for the uncorrected formation energy: 0.173 eV per atom. Its density is 12.045 g cm⁻³. The total energy is -3.848 eV/atom.

The structure belongs to space group F-43m (No. 216); the cell edges are 7.853, 7.853 and 7.853 Å and the angles 90.00°, 90.00° and 90.00°. The inequivalent atoms are Mn at (0.000, 0.000, 0.000), Au at (0.125, 0.125, 0.625) and Cl at (0.250, 0.250, 0.250).



Density functional theory data (PBE-GGA) for an optimized crystal structure of Mn2AuCl2.

The calculation puts the energy above the lowest structure with this stoichiometry at 874.7 meV per atom. As for the uncorrected formation energy: 0.843 eV per atom. Its density is 7.727 g cm⁻³. The total energy is -4.219 eV/atom.

The structure belongs to space group P4/mbm (No. 127); the cell edges are 7.605, 7.605 and 2.807 Å and the angles 90.00°, 90.00° and 90.00°. The inequivalent atoms are Mn at (0.212, 0.288, 0.000), Au at (0.000, 0.000, 0.500) and Cl at (0.131, 0.631, 0.500).



Density functional theory data (PBE-GGA) for an optimized crystal structure of Mn2AuCl2.

The calculation puts the energy above the lowest structure with this stoichiometry at 57.8 meV per atom. As for the uncorrected formation energy: 0.026 eV per atom. Its density is 6.429 g cm⁻³. The total energy is -5.036 eV/atom.

The structure belongs to space group P4/mbm (No. 127); the cell edges are 7.153, 7.153 and 3.814 Å and the angles 90.00°, 90.00° and 90.00°. The inequivalent atoms are Mn at (0.139, 0.361, 0.000), Au at (0.000, 0.000, 0.000) and Cl at (0.151, 0.651, 0.500).



Among the records above, which one has the highest density?
MnAu4Cl



Which of these has the lowest uncorrected formation energy?
number 4



density of number 5 (Mn2AuCl)?
7.377 g cm⁻³